No. 1
VASP calculation (PBE) on a geometry-optimized Ag5Pd2Au2 structure.

a = 5.0233 Å, b = 5.0296 Å, c = 7.6740 Å
α = 109.34°, β = 70.94°, γ = 119.99°
With the nearest neighbours (Å) after each atom.
Fractional positions:
Ag (0.0000, 0.0000, 0.0000)  8 Ag 2.89-2.92, 2 Au 2.90, 2 Pd 2.91
Ag (0.2211, 0.4464, 0.3343)  4 Au 2.88-2.91, 4 Ag 2.88-2.92, 4 Pd 2.89-2.91
Ag (0.3337, 0.6699, 0.0002)  2 Pd 2.88-2.90, 8 Ag 2.88-2.93, 2 Au 2.89-2.91
Ag (0.6663, 0.3301, 0.9998)  2 Pd 2.88-2.90, 8 Ag 2.88-2.93, 2 Au 2.89-2.91
Ag (0.7789, 0.5536, 0.6657)  4 Au 2.88-2.91, 4 Ag 2.88-2.92, 4 Pd 2.89-2.91
Au (0.1172, 0.2229, 0.6662)  4 Pd 2.88-2.91, 7 Ag 2.88-2.91, 1 Au 2.91
Au (0.8828, 0.7771, 0.3338)  4 Pd 2.88-2.91, 7 Ag 2.88-2.91, 1 Au 2.91
Pd (0.4478, 0.8914, 0.6669)  7 Ag 2.88-2.91, 4 Au 2.88-2.91, 1 Pd 2.90
Pd (0.5522, 0.1086, 0.3331)  7 Ag 2.88-2.91, 4 Au 2.88-2.91, 1 Pd 2.90

Summary:
Distance to the lowest polymorph of the same formula = 0 meV/atom
Space group = P-1
DFT formation energy = -6 kJ/mol of atoms

=====

No. 2
VASP calculation (PBE) on a geometry-optimized ReP2Pt structure.

a = 4.2988 Å, b = 4.2988 Å, c = 4.2988 Å
α = 60.00°, β = 60.00°, γ = 60.00°
With the nearest neighbours (Å) after each atom.
Fractional positions:
P (0.7500, 0.7500, 0.7500)  4 Pt 2.63, 4 Re 2.63
P (0.2500, 0.2500, 0.2500)  4 Pt 2.63, 4 Re 2.63
Pt (0.5000, 0.5000, 0.5000)  8 P 2.63
Re (0.0000, 0.0000, 0.0000)  8 P 2.63

Summary:
Distance to the lowest polymorph of the same formula = 457 meV/atom
Space group = Fm-3m
DFT formation energy = 23 kJ/mol of atoms

=====

No. 3
VASP calculation (PBE) on a geometry-optimized Pr2Nd3Hg2 structure.

a = 3.8811 Å, b = 7.0277 Å, c = 9.6801 Å
α = 114.22°, β = 90.00°, γ = 106.03°
With the nearest neighbours (Å) after each atom.
Fractional positions:
Pr (0.8540, 0.7080, 0.1876)  2 Hg 3.26
Pr (0.1460, 0.2920, 0.8124)  2 Hg 3.26
Hg (0.1743, 0.3487, 0.2278)  5 Nd 3.12-3.27, 2 Pr 3.26
Hg (0.8257, 0.6513, 0.7722)  5 Nd 3.12-3.27, 2 Pr 3.26
Nd (0.3904, 0.7807, 0.5557)  3 Hg 3.24-3.27, 1 Nd 3.56
Nd (0.5000, 0.0000, 0.0000)  4 Hg 3.12
Nd (0.6096, 0.2193, 0.4443)  3 Hg 3.24-3.27, 1 Nd 3.56

Summary:
Distance to the lowest polymorph of the same formula = 0 meV/atom
Space group = C2/m
DFT formation energy = -23 kJ/mol of atoms

=====

No. 4
VASP calculation (PBE) on a geometry-optimized LaGa2Pd7 structure.

a = 4.6503 Å, b = 7.1034 Å, c = 7.1034 Å
α = 117.78°, β = 90.00°, γ = 90.00°
With the nearest neighbours (Å) after each atom.
Fractional positions:
Pd (0.0000, 0.2305, 0.7695)  2 Ga 2.47
Pd (0.5000, 0.0663, 0.3109)  2 Ga 2.48-2.56, 2 Pd 2.73-2.77
Pd (0.0000, 0.7695, 0.2305)  2 Ga 2.47
Pd (0.5000, 0.9337, 0.6891)  2 Ga 2.48-2.56, 2 Pd 2.73-2.77
Pd (0.5000, 0.6891, 0.9337)  2 Ga 2.48-2.56, 2 Pd 2.73-2.77
Pd (0.5000, 0.5000, 0.5000)  2 Ga 2.44, 4 Pd 2.73
Pd (0.5000, 0.3109, 0.0663)  2 Ga 2.48-2.56, 2 Pd 2.73-2.77
Ga (0.5000, 0.7005, 0.2995)  7 Pd 2.44-2.56
Ga (0.5000, 0.2995, 0.7005)  7 Pd 2.44-2.56
La (0.0000, 0.0000, 0.0000)  10 Pd 2.80-3.09

Summary:
Space group = Cmmm
DFT formation energy = -30 kJ/mol of atoms

=====

No. 5
VASP calculation (PBE) on a geometry-optimized Pr8P3AuSe4 structure.

a = 8.5007 Å, b = 8.5327 Å, c = 8.5011 Å
α = 119.88°, β = 120.00°, γ = 90.00°
With the nearest neighbours (Å) after each atom.
Fractional positions:
Se (0.0000, 0.0000, 0.0000)  6 Pr 3.08-3.09
Se (0.5000, 0.0000, 0.0000)  6 Pr 2.99
Se (0.5000, 0.0000, 0.5000)  6 Pr 3.08-3.09
Se (0.0000, 0.0000, 0.5000)  6 Pr 3.08-3.09
Pr (0.7477, 0.2588, 0.4954)  2 P 2.94, 3 Se 2.99-3.08, 1 Au 3.04
Pr (0.7367, 0.7413, 0.9889)  2 P 2.95, 3 Se 2.99-3.08, 1 Au 3.04
Pr (0.7434, 0.7304, 0.4869)  3 P 2.93, 3 Se 3.09
Pr (0.7477, 0.2587, 0.0111)  2 P 2.95, 3 Se 2.99-3.08, 1 Au 3.04
Pr (0.2523, 0.7412, 0.5046)  2 P 2.94, 3 Se 2.99-3.08, 1 Au 3.04
Pr (0.2633, 0.2587, 0.0111)  2 P 2.95, 3 Se 2.99-3.08, 1 Au 3.04
Pr (0.2566, 0.2696, 0.5131)  3 P 2.93, 3 Se 3.09
Pr (0.2523, 0.7413, 0.9889)  2 P 2.95, 3 Se 2.99-3.08, 1 Au 3.04
P (0.5000, 0.5000, 0.5000)  6 Pr 2.93-2.95
P (0.0000, 0.5000, 0.5000)  6 Pr 2.93-2.95
P (0.5000, 0.5000, 0.0000)  6 Pr 2.93-2.95
Au (0.0000, 0.5000, 0.0000)  6 Pr 3.04

Summary:
Space group = R-3m
ΔE_f (raw) = -1628 meV per atom

=====

No. 6
VASP calculation (PBE) on a geometry-optimized Mn2SeCl structure.

a = 4.9136 Å, b = 4.1280 Å, c = 4.1278 Å
α = 79.30°, β = 90.00°, γ = 90.00°
With the nearest neighbours (Å) after each atom.
Fractional positions:
Mn (0.5000, 0.2671, 0.2671)  2 Se 2.58, 3 Cl 2.59-2.70
Mn (0.0000, 0.9841, 0.9841)  3 Se 2.58-2.70, 2 Cl 2.58
Se (0.0000, 0.3892, 0.3892)  5 Mn 2.58-2.70
Cl (0.5000, 0.8596, 0.8596)  5 Mn 2.58-2.70

Summary:
Distance to the lowest polymorph of the same formula = 80 meV/atom
Space group = Amm2
ΔE_f (raw) = -250 meV per atom

=====

Respective N(E_F) values: 2.6, 3.7, 8.0, 3.9, 9.6, 1.9 states/eV/cell.